(1)
DFT (PBE-GGA) results for an optimized crystal structure of Tb3Pr7Sc. Values from VASP.

Geometry as Quantum ESPRESSO input:
```
&SYSTEM
  ibrav = 0, nat = 22, ntyp = 3
/
ATOMIC_SPECIES
Tb 158.93 Tb.upf
Pr 140.91 Pr.upf
Sc 44.96 Sc.upf
CELL_PARAMETERS angstrom
9.356 -3.542 0.000
9.356 3.542 0.000
0.000 0.000 11.493
ATOMIC_POSITIONS crystal
Tb 0.000 0.000 0.000
Tb 0.000 0.000 0.500
Tb 0.233 0.245 0.250
Tb 0.245 0.233 0.750
Tb 0.755 0.767 0.250
Tb 0.767 0.755 0.750
Pr 0.098 0.581 0.470
Pr 0.099 0.581 0.031
Pr 0.200 0.627 0.750
Pr 0.227 0.773 0.250
Pr 0.373 0.800 0.750
Pr 0.419 0.901 0.031
Pr 0.419 0.902 0.470
Pr 0.581 0.098 0.970
Pr 0.581 0.099 0.531
Pr 0.627 0.200 0.250
Pr 0.773 0.227 0.750
Pr 0.800 0.373 0.250
Pr 0.901 0.419 0.531
Pr 0.902 0.419 0.970
Sc 0.500 0.500 0.000
Sc 0.500 0.500 0.500
```

Computed properties:
Energy relative to the lowest polymorph listed for this composition: 0.0 meV/atom
Formation enthalpy at 0 K: 1.37 eV per formula unit
Final energy: -4.76 eV/atom

***

(2)
DFT (PBE-GGA) results for an optimized crystal structure of PmHo2Pu. Values from VASP.

Geometry as Quantum ESPRESSO input:
```
&SYSTEM
  ibrav = 0, nat = 4, ntyp = 3
/
ATOMIC_SPECIES
Pm 145.00 Pm.upf
Ho 164.93 Ho.upf
Pu 244.00 Pu.upf
CELL_PARAMETERS angstrom
3.513 0.000 0.000
0.000 3.513 0.000
0.000 0.000 10.012
ATOMIC_POSITIONS crystal
Pm 0.000 0.000 0.000
Ho 0.500 0.500 0.259
Ho 0.500 0.500 0.741
Pu 0.000 0.000 0.500
```

Computed properties:
Energy relative to the lowest polymorph listed for this composition: 0.0 meV/atom
Formation enthalpy at 0 K: 0.40 eV per formula unit
Final energy: -6.96 eV/atom

***

(3)
DFT (PBE-GGA) results for an optimized crystal structure of Li2SbW. Values from VASP.

Geometry as Quantum ESPRESSO input:
```
&SYSTEM
  ibrav = 0, nat = 4, ntyp = 3
/
ATOMIC_SPECIES
Li 6.94 Li.upf
Sb 121.76 Sb.upf
W 183.84 W.upf
CELL_PARAMETERS angstrom
2.912 0.000 0.000
0.000 4.306 0.000
0.000 0.000 5.493
ATOMIC_POSITIONS crystal
Li 0.000 0.000 0.232
Li 0.000 0.000 0.768
Sb 0.500 0.500 0.500
W 0.500 0.500 0.000
```

Computed properties:
Final energy: -4.87 eV/atom
E_form (uncorrected): 0.361 eV/atom

***

(4)
DFT (PBE-GGA) results for an optimized crystal structure of PmPr4Th3As8. Values from VASP.

Geometry as Quantum ESPRESSO input:
```
&SYSTEM
  ibrav = 0, nat = 16, ntyp = 4
/
ATOMIC_SPECIES
Pm 145.00 Pm.upf
Pr 140.91 Pr.upf
Th 232.04 Th.upf
As 74.92 As.upf
CELL_PARAMETERS angstrom
4.279 2.470 6.989
-4.279 2.470 6.989
0.000 -4.941 6.989
ATOMIC_POSITIONS crystal
Pm 0.000 0.000 0.000
Pr 0.000 0.000 0.500
Pr 0.000 0.500 0.000
Pr 0.500 0.000 0.000
Pr 0.500 0.500 0.500
Th 0.000 0.500 0.500
Th 0.500 0.000 0.500
Th 0.500 0.500 0.000
As 0.249 0.249 0.747
As 0.249 0.747 0.249
As 0.252 0.252 0.252
As 0.253 0.751 0.751
As 0.747 0.249 0.249
As 0.748 0.748 0.748
As 0.751 0.253 0.751
As 0.751 0.751 0.253
```

Computed properties:
Formation enthalpy at 0 K: -23.85 eV per formula unit
Final energy: -6.70 eV/atom

***

Number 1: mass density 6.58 g cm⁻³. Number 2: mass density 9.66 g cm⁻³. Number 3: mass density 7.70 g cm⁻³. Number 4: mass density 7.51 g cm⁻³.